No. 1
The following is a GGA-PBE calculation of crystalline Sm8Ho3 at its relaxed geometry, from the Alexandria database.

Cell lengths 7.2414, 7.2414, 7.2414 Å; angles 84.53, 84.53, 84.53 degrees
With the nearest neighbours (Å) after each atom.
Fractional positions:
Sm (0.1140, 0.1140, 0.1140)  3 Ho 2.90, 1 Sm 3.12
Sm (0.1933, 0.3489, 0.6166)  2 Ho 3.22-3.23
Sm (0.3489, 0.6166, 0.1933)  2 Ho 3.22-3.23
Sm (0.3834, 0.8066, 0.6511)  2 Ho 3.22-3.23
Sm (0.6166, 0.1934, 0.3489)  2 Ho 3.22-3.23
Sm (0.6511, 0.3834, 0.8066)  2 Ho 3.22-3.23
Sm (0.8066, 0.6511, 0.3834)  2 Ho 3.22-3.23
Sm (0.8860, 0.8860, 0.8860)  3 Ho 2.90, 1 Sm 3.12
Ho (0.0000, 0.0000, 0.5000)  6 Sm 2.90-3.23
Ho (0.0000, 0.5000, 0.0000)  6 Sm 2.90-3.23
Ho (0.5000, 0.0000, 0.0000)  6 Sm 2.90-3.23

Computed properties:
- space-group type = R-3
- electronic total energy (eV/cell) = -46.07
- formation energy (meV/atom) = 493

No. 2
The following is a GGA-PBE calculation of crystalline K3Sm2InS6 at its relaxed geometry, from the Alexandria database.

Cell lengths 7.0570, 7.0570, 7.7761 Å; angles 98.71, 98.71, 120.01 degrees
With the nearest neighbours (Å) after each atom.
Fractional positions:
K (0.0000, 0.0000, 0.0000)  6 S 3.19-3.28
K (0.3327, 0.6673, 0.0000)  6 S 3.19-3.27
K (0.6673, 0.3327, 0.0000)  6 S 3.19-3.27
Sm (0.1666, 0.8334, 0.5000)  6 S 2.83
Sm (0.8334, 0.1666, 0.5000)  6 S 2.83
In (0.5000, 0.5000, 0.5000)  6 S 2.73
S (0.1096, 0.4322, 0.2965)  1 In 2.73, 2 Sm 2.83
S (0.2456, 0.2456, 0.7032)  1 In 2.73, 2 Sm 2.83
S (0.4322, 0.1096, 0.2965)  1 In 2.73, 2 Sm 2.83
S (0.5678, 0.8904, 0.7035)  1 In 2.73, 2 Sm 2.83
S (0.7544, 0.7544, 0.2968)  1 In 2.73, 2 Sm 2.83
S (0.8904, 0.5678, 0.7035)  1 In 2.73, 2 Sm 2.83

Computed properties:
- space-group type = C2/m
- electronic total energy (eV/cell) = -58.40
- E_form (uncorrected) (kJ per mole of atoms) = -146